<1>
NdSm3Se4 | PBE | relaxed

abc: 4.1437 7.2802 7.2802
angles: 108.95 90.00 90.00
With the nearest neighbours (Å) after each atom.
Element x y z (fractional)
Nd 0.5000 0.0000 0.0000  6 Se 2.98
Sm 0.0000 0.0000 0.5000  6 Se 2.96
Sm 0.5000 0.5000 0.5000  6 Se 2.94
Sm 0.0000 0.5000 0.0000  6 Se 2.96
Se 0.0000 0.2535 0.2535  4 Sm 2.94-2.96, 2 Nd 2.98
Se 0.5000 0.7483 0.2517  5 Sm 2.94-2.96, 1 Nd 2.98
Se 0.0000 0.7465 0.7465  4 Sm 2.94-2.96, 2 Nd 2.98
Se 0.5000 0.2517 0.7483  5 Sm 2.94-2.96, 1 Nd 2.98

Output
The density of states at the Fermi level comes out at 0.618 states/eV/atom. Its space-group type is Cmmm (65). The total magnetization is 0.00 Bohr magnetons per cell.



<2>
NdSm3Se4 | PBE | relaxed

abc: 4.1434 4.1434 27.9972
angles: 90.00 90.00 120.00
With the nearest neighbours (Å) after each atom.
Element x y z (fractional)
Nd 0.6667 0.3333 0.7500  6 Se 3.01
Nd 0.3333 0.6667 0.2500  6 Se 3.01
Se 0.6667 0.3333 0.9381  6 Sm 2.94-2.95
Se 0.3333 0.6667 0.0619  6 Sm 2.94-2.95
Se 0.3333 0.6667 0.4381  6 Sm 2.94-2.95
Se 0.6667 0.3333 0.5619  6 Sm 2.94-2.95
Se 0.0000 0.0000 0.8154  3 Sm 2.95, 3 Nd 3.01
Se 0.0000 0.0000 0.1846  3 Sm 2.95, 3 Nd 3.01
Se 0.0000 0.0000 0.3154  3 Sm 2.95, 3 Nd 3.01
Se 0.0000 0.0000 0.6846  3 Sm 2.95, 3 Nd 3.01
Sm 0.0000 0.0000 0.0000  6 Se 2.95
Sm 0.0000 0.0000 0.5000  6 Se 2.95
Sm 0.3333 0.6667 0.8770  6 Se 2.94-2.95
Sm 0.6667 0.3333 0.1230  6 Se 2.94-2.95
Sm 0.6667 0.3333 0.3770  6 Se 2.94-2.95
Sm 0.3333 0.6667 0.6230  6 Se 2.94-2.95

Output
The density of states at the Fermi level comes out at 0.625 states/eV/atom. Its space-group type is P6_3/mmc (194). The total magnetization is 0.00 Bohr magnetons per cell.



Which of them is the least stable? Correct choice: <2>.



<1>
NdSmSe | PBE | relaxed

abc: 3.8845 3.8845 13.8942
angles: 90.00 90.00 120.00
With the nearest neighbours (Å) after each atom.
Element x y z (fractional)
Sm 0.0000 0.0000 0.0000  6 Nd 3.70, 6 Sm 3.88
Sm 0.3333 0.6667 0.5000  6 Se 2.97
Se 0.0000 0.0000 0.3603  3 Sm 2.97, 3 Nd 3.05
Se 0.0000 0.0000 0.6397  3 Sm 2.97, 3 Nd 3.05
Nd 0.3333 0.6667 0.7880  3 Se 3.05
Nd 0.3333 0.6667 0.2120  3 Se 3.05

Output
The density of states at the Fermi level comes out at 0.853 states/eV/atom. Its space-group type is P-6m2 (187). The total magnetization is 1.07 Bohr magnetons per cell.



<2>
NdSmSe | PBE | relaxed

abc: 4.0000 4.0000 6.7217
angles: 90.00 90.00 120.00
With the nearest neighbours (Å) after each atom.
Element x y z (fractional)
Nd 0.0000 0.0000 0.0562  3 Se 2.98
Se 0.6667 0.3333 0.3364  3 Sm 2.94, 3 Nd 2.98
Sm 0.3333 0.6667 0.6074  3 Se 2.94

Output
The density of states at the Fermi level comes out at 1.229 states/eV/atom. Its space-group type is P3m1 (156). The total magnetization is 1.12 Bohr magnetons per cell.



Which of them is the least stable? Correct choice: <1>.



<1>
NdSm2Se4 | PBE | relaxed

abc: 4.0786 7.1983 14.0738
angles: 90.00 90.00 106.46
With the nearest neighbours (Å) after each atom.
Element x y z (fractional)
Nd 0.6257 0.2515 0.7500  6 Se 2.98-3.04
Nd 0.3743 0.7485 0.2500  6 Se 2.98-3.04
Sm 0.1300 0.2601 0.4307  6 Se 2.89-2.99
Sm 0.8700 0.7399 0.9307  6 Se 2.89-2.99
Sm 0.1300 0.2601 0.0693  6 Se 2.89-2.99
Sm 0.8700 0.7399 0.5693  6 Se 2.89-2.99
Se 0.7760 0.5520 0.1220  3 Sm 2.96-2.99, 2 Nd 3.04
Se 0.7760 0.5520 0.3780  3 Sm 2.96-2.99, 2 Nd 3.04
Se 0.2240 0.4480 0.8780  3 Sm 2.96-2.99, 2 Nd 3.04
Se 0.2240 0.4480 0.6220  3 Sm 2.96-2.99, 2 Nd 3.04
Se 0.9687 0.9374 0.7500  2 Sm 2.89, 2 Nd 2.98
Se 0.0313 0.0626 0.2500  2 Sm 2.89, 2 Nd 2.98
Se 0.5000 0.0000 0.0000  4 Sm 2.89
Se 0.5000 0.0000 0.5000  4 Sm 2.89

Output
The density of states at the Fermi level comes out at 0.297 states/eV/atom. Its space-group type is Cmcm (63). The total magnetization is 0.00 Bohr magnetons per cell.



<2>
NdSm2Se4 | PBE | relaxed

abc: 4.2144 7.3384 8.2697
angles: 118.33 104.76 90.00
With the nearest neighbours (Å) after each atom.
Element x y z (fractional)
Nd 0.0000 0.0000 0.0000  6 Se 2.97-3.01
Sm 0.2684 0.2604 0.5368  6 Se 2.90-3.00
Sm 0.7316 0.7396 0.4632  6 Se 2.90-3.00
Se 0.1257 0.8075 0.2513  3 Sm 2.90-2.97, 1 Nd 2.97
Se 0.8743 0.1925 0.7487  3 Sm 2.90-2.97, 1 Nd 2.97
Se 0.3613 0.7219 0.7225  3 Sm 2.96-3.00, 2 Nd 3.01
Se 0.6387 0.2781 0.2775  3 Sm 2.96-3.00, 2 Nd 3.01

Output
The density of states at the Fermi level comes out at 0.385 states/eV/atom. Its space-group type is C2/m (12). The total magnetization is 0.00 Bohr magnetons per cell.



Which of them is the least stable? Correct choice: <2>.



<1>
Nd2SmSe4 | PBE | relaxed

abc: 4.2402 7.4657 8.2312
angles: 119.35 104.93 90.00
With the nearest neighbours (Å) after each atom.
Element x y z (fractional)
Nd 0.2725 0.2645 0.5449  6 Se 2.93-3.04
Nd 0.7275 0.7355 0.4551  6 Se 2.93-3.04
Sm 0.0000 0.0000 0.0000  6 Se 2.93-2.98
Se 0.1216 0.8091 0.2432  1 Sm 2.93, 3 Nd 2.93-3.01
Se 0.8784 0.1909 0.7568  1 Sm 2.93, 3 Nd 2.93-3.01
Se 0.3631 0.7278 0.7261  2 Sm 2.98, 3 Nd 3.00-3.04
Se 0.6369 0.2722 0.2739  2 Sm 2.98, 3 Nd 3.00-3.04

Output
The density of states at the Fermi level comes out at 0.400 states/eV/atom. Its space-group type is C2/m (12). The total magnetization is 0.00 Bohr magnetons per cell.



<2>
Nd2SmSe4 | PBE | relaxed

abc: 4.0788 7.2797 14.1445
angles: 90.00 90.00 106.27
With the nearest neighbours (Å) after each atom.
Element x y z (fractional)
Nd 0.1300 0.2601 0.4293  6 Se 2.91-3.04
Nd 0.8700 0.7399 0.9293  6 Se 2.91-3.04
Nd 0.1300 0.2601 0.0707  6 Se 2.91-3.04
Nd 0.8700 0.7399 0.5707  6 Se 2.91-3.04
Sm 0.6269 0.2539 0.7500  6 Se 2.94-3.01
Sm 0.3731 0.7461 0.2500  6 Se 2.94-3.01
Se 0.7784 0.5568 0.1241  3 Nd 3.00-3.04, 2 Sm 3.01
Se 0.7784 0.5568 0.3759  3 Nd 3.00-3.04, 2 Sm 3.01
Se 0.2216 0.4432 0.8759  3 Nd 3.00-3.04, 2 Sm 3.01
Se 0.2216 0.4432 0.6241  3 Nd 3.00-3.04, 2 Sm 3.01
Se 0.9753 0.9506 0.7500  2 Nd 2.93, 2 Sm 2.94
Se 0.0247 0.0494 0.2500  2 Nd 2.93, 2 Sm 2.94
Se 0.5000 0.0000 0.0000  4 Nd 2.91
Se 0.5000 0.0000 0.5000  4 Nd 2.91

Output
The density of states at the Fermi level comes out at 0.316 states/eV/atom. Its space-group type is Cmcm (63). The total magnetization is 0.00 Bohr magnetons per cell.



Which of them is the least stable? Correct choice: <1>.



<1>
Nd3SmSe6 | PBE | relaxed

abc: 8.6535 8.6535 8.6535
angles: 91.11 91.11 91.11
With the nearest neighbours (Å) after each atom.
Element x y z (fractional)
Nd 0.4313 0.9222 0.7534  6 Se 2.94-3.04
Nd 0.9222 0.7534 0.4313  6 Se 2.94-3.04
Nd 0.2466 0.5687 0.0778  6 Se 2.94-3.04
Nd 0.7534 0.4313 0.9222  6 Se 2.94-3.04
Nd 0.0778 0.2466 0.5687  6 Se 2.94-3.04
Nd 0.5687 0.0778 0.2466  6 Se 2.94-3.04
Sm 0.0000 0.0000 0.0000  6 Se 2.92
Sm 0.5000 0.5000 0.5000  6 Se 2.88
Se 0.3142 0.9097 0.0817  1 Sm 2.92, 3 Nd 2.95-3.04
Se 0.0903 0.9183 0.6858  1 Sm 2.92, 3 Nd 2.95-3.04
Se 0.5920 0.8183 0.4629  1 Sm 2.88, 3 Nd 2.94-3.03
Se 0.9183 0.6858 0.0903  1 Sm 2.92, 3 Nd 2.95-3.04
Se 0.4629 0.5920 0.8183  1 Sm 2.88, 3 Nd 2.94-3.03
Se 0.1817 0.5371 0.4080  1 Sm 2.88, 3 Nd 2.94-3.03
Se 0.8183 0.4629 0.5920  1 Sm 2.88, 3 Nd 2.94-3.03
Se 0.5371 0.4080 0.1817  1 Sm 2.88, 3 Nd 2.94-3.03
Se 0.0817 0.3142 0.9097  1 Sm 2.92, 3 Nd 2.95-3.04
Se 0.4080 0.1817 0.5371  1 Sm 2.88, 3 Nd 2.94-3.03
Se 0.9097 0.0817 0.3142  1 Sm 2.92, 3 Nd 2.95-3.04
Se 0.6858 0.0903 0.9183  1 Sm 2.92, 3 Nd 2.95-3.04

Output
The density of states at the Fermi level comes out at 0.000 states/eV/atom. Its space-group type is R-3 (148). The total magnetization is 0.00 Bohr magnetons per cell.



<2>
Nd3SmSe6 | PBE | relaxed

abc: 7.0562 7.7817 10.7809
angles: 90.00 90.42 90.00
With the nearest neighbours (Å) after each atom.
Element x y z (fractional)
Nd 0.5454 0.8977 0.7488  6 Se 2.98-3.17
Nd 0.5000 0.5000 0.0000  6 Se 2.88-2.98
Nd 0.4546 0.1023 0.2512  6 Se 2.98-3.17
Nd 0.0454 0.6023 0.2488  6 Se 2.98-3.17
Nd 0.0000 0.0000 0.5000  6 Se 2.88-2.98
Nd 0.9546 0.3977 0.7512  6 Se 2.98-3.17
Sm 0.5000 0.5000 0.5000  6 Se 2.85-2.95
Sm 0.0000 0.0000 0.0000  6 Se 2.85-2.95
Se 0.6734 0.1820 0.9159  1 Sm 2.85, 3 Nd 2.91-3.16
Se 0.6699 0.1839 0.5829  1 Sm 2.88, 3 Nd 2.88-3.17
Se 0.6616 0.4363 0.2521  1 Sm 2.95, 3 Nd 2.98-3.00
Se 0.3384 0.5637 0.7479  1 Sm 2.95, 3 Nd 2.98-3.00
Se 0.3301 0.8161 0.4171  1 Sm 2.88, 3 Nd 2.88-3.17
Se 0.3266 0.8180 0.0841  1 Sm 2.85, 3 Nd 2.91-3.16
Se 0.1734 0.3180 0.4159  1 Sm 2.85, 3 Nd 2.91-3.16
Se 0.1699 0.3161 0.0829  1 Sm 2.88, 3 Nd 2.88-3.17
Se 0.1616 0.0637 0.7521  1 Sm 2.95, 3 Nd 2.98-3.00
Se 0.8384 0.9363 0.2479  1 Sm 2.95, 3 Nd 2.98-3.00
Se 0.8301 0.6839 0.9171  1 Sm 2.88, 3 Nd 2.88-3.17
Se 0.8266 0.6820 0.5841  1 Sm 2.85, 3 Nd 2.91-3.16

Output
The density of states at the Fermi level comes out at 0.000 states/eV/atom. Its space-group type is P2_1/c (14). The total magnetization is 0.00 Bohr magnetons per cell.



Which of them is the least stable? Correct choice: <2>.



<1>
NdSnSe3 | PBE | relaxed

abc: 4.1093 8.4360 15.1140
angles: 90.00 90.00 90.00
With the nearest neighbours (Å) after each atom.
Element x y z (fractional)
Nd 0.7500 0.8537 0.8064  8 Se 3.03-3.21
Nd 0.2500 0.1463 0.1936  8 Se 3.03-3.21
Nd 0.7500 0.3537 0.6936  8 Se 3.03-3.21
Nd 0.2500 0.6463 0.3064  8 Se 3.03-3.21
Sn 0.2500 0.3165 0.9503  6 Se 2.79-3.00
Sn 0.2500 0.8165 0.5497  6 Se 2.79-3.00
Sn 0.7500 0.1835 0.4503  6 Se 2.79-3.00
Sn 0.7500 0.6835 0.0497  6 Se 2.79-3.00
Se 0.2500 0.3517 0.5461  2 Sn 2.89, 2 Nd 3.03
Se 0.7500 0.8557 0.2075  1 Sn 2.79, 2 Nd 3.09
Se 0.7500 0.5064 0.8774  3 Sn 2.83-3.00, 2 Nd 3.06-3.12
Se 0.7500 0.0064 0.6226  3 Sn 2.83-3.00, 2 Nd 3.06-3.12
Se 0.7500 0.6483 0.4539  2 Sn 2.89, 2 Nd 3.03
Se 0.2500 0.9936 0.3774  3 Sn 2.83-3.00, 2 Nd 3.06-3.12
Se 0.2500 0.8517 0.9539  2 Sn 2.89, 2 Nd 3.03
Se 0.7500 0.3557 0.2925  1 Sn 2.79, 2 Nd 3.09
Se 0.2500 0.6443 0.7075  1 Sn 2.79, 2 Nd 3.09
Se 0.2500 0.1443 0.7925  1 Sn 2.79, 2 Nd 3.09
Se 0.7500 0.1483 0.0461  2 Sn 2.89, 2 Nd 3.03
Se 0.2500 0.4936 0.1226  3 Sn 2.83-3.00, 2 Nd 3.06-3.12

Output
The density of states at the Fermi level comes out at 0.287 states/eV/atom. Its space-group type is Pnma (62). The total magnetization is 0.00 Bohr magnetons per cell.



<2>
NdSnSe3 | PBE | relaxed

abc: 4.8085 7.3060 9.9728
angles: 100.97 90.00 90.00
With the nearest neighbours (Å) after each atom.
Element x y z (fractional)
Nd 0.2500 0.2901 0.5782  6 Se 2.88-3.16
Nd 0.7500 0.7099 0.4218  6 Se 2.88-3.16
Sn 0.2500 0.1212 0.1369  5 Se 2.67-2.97
Sn 0.7500 0.8788 0.8631  5 Se 2.67-2.97
Se 0.7500 0.0415 0.6454  1 Sn 2.67, 1 Nd 2.96
Se 0.7500 0.5289 0.6544  3 Nd 2.88-2.98, 1 Sn 2.97
Se 0.2500 0.9585 0.3546  1 Sn 2.67, 1 Nd 2.96
Se 0.2500 0.4711 0.3456  3 Nd 2.88-2.98, 1 Sn 2.97
Se 0.2500 0.7777 0.9458  3 Sn 2.69-2.85
Se 0.7500 0.2223 0.0542  3 Sn 2.69-2.85

Output
The density of states at the Fermi level comes out at 0.246 states/eV/atom. Its space-group type is P2_1/m (11). The total magnetization is 0.00 Bohr magnetons per cell.



Which of them is the least stable? Correct choice: <2>.



<1>
Nd2SnSe5 | PBE | relaxed

abc: 4.1001 8.2629 12.1722
angles: 90.00 90.00 90.00
With the nearest neighbours (Å) after each atom.
Element x y z (fractional)
Nd 0.5000 0.5336 0.1737  8 Se 2.96-3.17
Nd 0.5000 0.4664 0.8263  8 Se 2.96-3.17
Nd 0.5000 0.9664 0.6737  8 Se 2.96-3.17
Nd 0.5000 0.0336 0.3263  8 Se 2.96-3.17
Sn 0.0000 0.5000 0.5000  6 Se 2.75-2.79
Sn 0.0000 0.0000 0.0000  6 Se 2.75-2.79
Se 0.0000 0.0000 0.5000  4 Nd 2.96
Se 0.0000 0.5000 0.0000  4 Nd 2.96
Se 0.0000 0.8248 0.1958  1 Sn 2.79, 2 Nd 3.11
Se 0.0000 0.1752 0.8042  1 Sn 2.79, 2 Nd 3.11
Se 0.0000 0.6752 0.6958  1 Sn 2.79, 2 Nd 3.11
Se 0.0000 0.3248 0.3042  1 Sn 2.79, 2 Nd 3.11
Se 0.5000 0.6727 0.4049  2 Sn 2.75, 1 Nd 3.04
Se 0.5000 0.3273 0.5951  2 Sn 2.75, 1 Nd 3.04
Se 0.5000 0.8273 0.9049  2 Sn 2.75, 1 Nd 3.04
Se 0.5000 0.1727 0.0951  2 Sn 2.75, 1 Nd 3.04

Output
The density of states at the Fermi level comes out at 0.287 states/eV/atom. Its space-group type is Pbam (55). The total magnetization is 0.00 Bohr magnetons per cell.



<2>
Nd2SnSe5 | PBE | relaxed

abc: 5.8783 7.9187 13.3710
angles: 90.00 90.00 111.79
With the nearest neighbours (Å) after each atom.
Element x y z (fractional)
Nd 0.8317 0.6633 0.4268  6 Se 2.90-2.98
Nd 0.8317 0.6633 0.0732  6 Se 2.90-2.98
Nd 0.1683 0.3367 0.5732  6 Se 2.90-2.98
Nd 0.1683 0.3367 0.9268  6 Se 2.90-2.98
Sn 0.8207 0.6414 0.7500  6 Se 2.79-3.08
Sn 0.1793 0.3586 0.2500  6 Se 2.79-3.08
Se 0.9706 0.9411 0.9105  1 Se 2.55
Se 0.9706 0.9411 0.5895  1 Se 2.55
Se 0.3016 0.6032 0.4095  1 Sn 2.79, 3 Nd 2.94-2.98
Se 0.3016 0.6032 0.0905  1 Sn 2.79, 3 Nd 2.94-2.98
Se 0.7171 0.4342 0.2500  2 Nd 2.90, 2 Sn 2.99
Se 0.2829 0.5658 0.7500  2 Nd 2.90, 2 Sn 2.99
Se 0.6984 0.3968 0.5905  1 Sn 2.79, 3 Nd 2.94-2.98
Se 0.6984 0.3968 0.9095  1 Sn 2.79, 3 Nd 2.94-2.98
Se 0.0294 0.0589 0.0895  1 Se 2.55
Se 0.0294 0.0589 0.4105  1 Se 2.55

Output
Its space-group type is Cmcm (63). The total magnetization is 0.00 Bohr magnetons per cell.



Which of them is the least stable? Correct choice: <2>.



<1>
SrNd2Se4 | PBE | relaxed

abc: 4.2453 7.3149 14.4075
angles: 90.00 90.00 106.87
With the nearest neighbours (Å) after each atom.
Element x y z (fractional)
Sr 0.6130 0.2260 0.7500  6 Se 3.05-3.28
Sr 0.3870 0.7740 0.2500  6 Se 3.05-3.28
Nd 0.1340 0.2681 0.4297  6 Se 2.88-3.02
Nd 0.8660 0.7319 0.9297  6 Se 2.88-3.02
Nd 0.1340 0.2681 0.0703  6 Se 2.88-3.02
Nd 0.8660 0.7319 0.5703  6 Se 2.88-3.02
Se 0.7716 0.5432 0.1181  3 Nd 2.95-3.02, 2 Sr 3.28
Se 0.7716 0.5432 0.3819  3 Nd 2.95-3.02, 2 Sr 3.28
Se 0.2284 0.4568 0.8819  3 Nd 2.95-3.02, 2 Sr 3.28
Se 0.2284 0.4568 0.6181  3 Nd 2.95-3.02, 2 Sr 3.28
Se 0.9566 0.9132 0.7500  2 Nd 2.88, 2 Sr 3.05
Se 0.0434 0.0868 0.2500  2 Nd 2.88, 2 Sr 3.05
Se 0.5000 0.0000 0.0000  4 Nd 3.01
Se 0.5000 0.0000 0.5000  4 Nd 3.01

Output
Its space-group type is Cmcm (63). The total magnetization is 0.00 Bohr magnetons per cell.



<2>
SrNd2Se4 | PBE | relaxed

abc: 4.3312 12.1945 15.4841
angles: 90.00 90.00 90.00
With the nearest neighbours (Å) after each atom.
Element x y z (fractional)
Sr 0.2500 0.7369 0.3395  8 Se 3.19-3.52
Sr 0.7500 0.2631 0.6605  8 Se 3.19-3.52
Sr 0.2500 0.2369 0.1605  8 Se 3.19-3.52
Sr 0.7500 0.7631 0.8395  8 Se 3.19-3.52
Nd 0.7500 0.1054 0.9005  6 Se 2.94-3.08
Nd 0.2500 0.8946 0.0995  6 Se 2.94-3.08
Nd 0.7500 0.6054 0.5995  6 Se 2.94-3.08
Nd 0.2500 0.3946 0.4005  6 Se 2.94-3.08
Nd 0.2500 0.4382 0.8931  6 Se 2.88-3.06
Nd 0.7500 0.5618 0.1069  6 Se 2.88-3.06
Nd 0.2500 0.9382 0.6069  6 Se 2.88-3.06
Nd 0.7500 0.0618 0.3931  6 Se 2.88-3.06
Se 0.7500 0.0652 0.0880  3 Nd 2.94-3.01, 2 Sr 3.22
Se 0.2500 0.9348 0.9120  3 Nd 2.94-3.01, 2 Sr 3.22
Se 0.7500 0.5652 0.4120  3 Nd 2.94-3.01, 2 Sr 3.22
Se 0.2500 0.4348 0.5880  3 Nd 2.94-3.01, 2 Sr 3.22
Se 0.7500 0.0068 0.7173  3 Nd 2.88-3.08
Se 0.2500 0.9932 0.2827  3 Nd 2.88-3.08
Se 0.7500 0.5068 0.7827  3 Nd 2.88-3.08
Se 0.2500 0.4932 0.2173  3 Nd 2.88-3.08
Se 0.7500 0.3448 0.0117  4 Nd 3.03-3.39
Se 0.2500 0.6552 0.9883  4 Nd 3.03-3.39
Se 0.7500 0.8448 0.4883  4 Nd 3.03-3.39
Se 0.2500 0.1552 0.5117  4 Nd 3.03-3.39
Se 0.2500 0.2267 0.8086  3 Nd 2.89-2.98, 2 Sr 3.19
Se 0.7500 0.7733 0.1914  3 Nd 2.89-2.98, 2 Sr 3.19
Se 0.2500 0.7267 0.6914  3 Nd 2.89-2.98, 2 Sr 3.19
Se 0.7500 0.2733 0.3086  3 Nd 2.89-2.98, 2 Sr 3.19

Output
Its space-group type is Pnma (62). The total magnetization is 0.00 Bohr magnetons per cell.



Which of them is the least stable? Correct choice: <1>.